Record 1
Tl3In3GeI8 | GGA-PBE | optimized geometry

Values from the calculation:
E_form (uncorrected): -0.503 eV/atom
Total magnetization: 0.000 μB/f.u.

a b c (Å): 9.919 9.919 9.919
angles (deg): 59.79 59.79 59.79
Positions (direct):
Tl  0.000  0.500  0.500
Tl  0.500  0.000  0.500
Tl  0.500  0.500  0.000
In  0.000  0.000  0.500
In  0.000  0.500  0.000
In  0.500  0.000  0.000
Ge  0.500  0.500  0.500
I  0.249  0.249  0.249
I  0.278  0.720  0.720
I  0.280  0.280  0.722
I  0.280  0.722  0.280
I  0.720  0.278  0.720
I  0.720  0.720  0.278
I  0.722  0.280  0.280
I  0.751  0.751  0.751

---

Record 2
Ac5IrPd2Pt | GGA-PBE | optimized geometry

Values from the calculation:
Formation enthalpy at 0 K: -0.6704 eV per atom
Total magnetization: 0.000 μB/f.u.

a b c (Å): 9.310 9.310 15.581
angles (deg): 90.00 90.00 152.67
Positions (direct):
Ac  0.018  0.982  0.500
Ac  0.095  0.905  0.754
Ac  0.225  0.775  0.142
Ac  0.257  0.743  0.404
Ac  0.413  0.587  0.794
Ac  0.587  0.413  0.294
Ac  0.743  0.257  0.904
Ac  0.775  0.225  0.642
Ac  0.905  0.095  0.254
Ac  0.982  0.018  0.000
Ir  0.253  0.747  0.770
Ir  0.747  0.253  0.270
Pd  0.352  0.648  0.993
Pd  0.436  0.564  0.390
Pd  0.564  0.436  0.890
Pd  0.648  0.352  0.493
Pt  0.055  0.945  0.170
Pt  0.945  0.055  0.670

---

Record 3
Th3Co5B2 | GGA-PBE | optimized geometry

Values from the calculation:
Formation enthalpy at 0 K: -0.0506 eV per atom
Total magnetization: 1.278 μB/f.u.

a b c (Å): 8.072 8.072 8.072
angles (deg): 118.45 78.59 136.18
Positions (direct):
Th  0.141  0.726  0.868
Th  0.250  0.250  0.000
Th  0.359  0.226  0.585
Th  0.641  0.774  0.415
Th  0.750  0.750  0.000
Th  0.859  0.274  0.132
Co  0.013  0.750  0.263
Co  0.107  0.305  0.412
Co  0.250  0.750  0.500
Co  0.393  0.805  0.197
Co  0.487  0.750  0.737
Co  0.513  0.250  0.263
Co  0.607  0.195  0.803
Co  0.750  0.250  0.500
Co  0.893  0.695  0.588
Co  0.987  0.250  0.737
B  0.168  0.083  0.251
B  0.332  0.583  0.915
B  0.668  0.417  0.085
B  0.832  0.917  0.749

---

Record 4
ZnHN | GGA-PBE | optimized geometry

Values from the calculation:
Total magnetization: 0.000 μB/f.u.
Electronic total energy: -4.396 eV/atom

a b c (Å): 5.775 3.664 5.589
angles (deg): 90.00 90.00 90.00
Positions (direct):
Zn  0.149  0.250  0.078
Zn  0.351  0.750  0.578
Zn  0.649  0.250  0.422
Zn  0.851  0.750  0.922
H  0.124  0.250  0.528
H  0.376  0.750  0.028
H  0.624  0.250  0.972
H  0.876  0.750  0.472
N  0.234  0.750  0.916
N  0.266  0.250  0.416
N  0.734  0.750  0.584
N  0.766  0.250  0.084

---

Record 5
ErSn2Sb | GGA-PBE | optimized geometry

Values from the calculation:
E_form (uncorrected): -0.375 eV/atom
Total magnetization: 0.000 μB/f.u.

a b c (Å): 4.524 4.524 5.166
angles (deg): 90.00 90.00 90.00
Positions (direct):
Er  0.000  0.000  0.000
Sn  0.000  0.500  0.500
Sn  0.500  0.000  0.500
Sb  0.500  0.500  0.000

---

Record 6
Ti3O4 | GGA-PBE | optimized geometry

Values from the calculation:
E_form (uncorrected): -2.767 eV/atom
Total magnetization: 0.000 μB/f.u.

a b c (Å): 4.157 4.157 8.213
angles (deg): 90.00 90.00 90.00
Positions (direct):
Ti  0.000  0.000  0.000
Ti  0.000  0.500  0.250
Ti  0.000  0.500  0.750
Ti  0.500  0.000  0.250
Ti  0.500  0.000  0.750
Ti  0.500  0.500  0.500
O  0.000  0.000  0.256
O  0.000  0.000  0.744
O  0.000  0.500  0.000
O  0.000  0.500  0.500
O  0.500  0.000  0.000
O  0.500  0.000  0.500
O  0.500  0.500  0.244
O  0.500  0.500  0.756

---

Record 7
Ba6CdRh2I3 | GGA-PBE | optimized geometry

Values from the calculation:
E_form (uncorrected): -0.786 eV/atom
Total magnetization: 0.648 μB/f.u.

a b c (Å): 11.286 11.286 10.398
angles (deg): 109.08 109.08 23.80
Positions (direct):
Ba  0.022  0.022  0.257
Ba  0.320  0.320  0.449
Ba  0.332  0.332  0.875
Ba  0.668  0.668  0.125
Ba  0.680  0.680  0.551
Ba  0.978  0.978  0.743
Cd  0.500  0.500  0.000
Rh  0.164  0.164  0.329
Rh  0.836  0.836  0.671
I  0.163  0.163  0.827
I  0.500  0.500  0.500
I  0.837  0.837  0.173

---

Record 8
AgSbW2 | GGA-PBE | optimized geometry

Values from the calculation:
E_form (uncorrected): 0.832 eV/atom
Total magnetization: 0.000 μB/f.u.

a b c (Å): 2.988 2.988 27.836
angles (deg): 90.00 90.00 120.00
Positions (direct):
Ag  0.000  0.000  0.000
Ag  0.333  0.667  0.667
Ag  0.667  0.333  0.333
Sb  0.000  0.000  0.500
Sb  0.333  0.667  0.167
Sb  0.667  0.333  0.833
W  0.000  0.000  0.249
W  0.000  0.000  0.751
W  0.333  0.667  0.418
W  0.333  0.667  0.915
W  0.667  0.333  0.085
W  0.667  0.333  0.582

---

Question: What is the total magnetization in the eighth record?
Answer: 0.000 μB/f.u.

---

Question: Which formula does entry 3 have?
Answer: Th3Co5B2